# PBE SbHCl3, optimized geometry
# **DOS(E_F)**: 3.4 states/eV/cell
# **Offset from the most stable computed form**: 807 meV/atom
data_SbHCl3
_symmetry_space_group_name_H-M 'P m -3 m'
_symmetry_Int_Tables_number 221
_symmetry_space_group_name_Hall '-P 4 2 3'
_cell_length_a 4.4550
_cell_length_b 4.4550
_cell_length_c 4.4550
_cell_angle_alpha 90.00
_cell_angle_beta 90.00
_cell_angle_gamma 90.00
loop_
_atom_site_label
_atom_site_type_symbol
_atom_site_fract_x
_atom_site_fract_y
_atom_site_fract_z
Sb1 Sb 0.0000 0.0000 0.0000
H1 H 0.5000 0.5000 0.5000
Cl1 Cl 0.0000 0.5000 0.5000